# MnB2P3H10N2ClO13

A crystal of MnB2P3H10N2ClO13 relaxed with PBEsol (meta-GGA SCAN, Alexandria via LeMat-Bulk).

Output
E: -8.1652 eV/atom
space group: P2_1/c (14)

Cell: 8.9574 8.4408 18.4611 Å, 90.00 117.00 90.00°
Last column: nearest neighbours and their distance in Å.
Element x y z (fractional)
Mn: 0.0321 0.1786 0.1328  5 O 2.09-2.24
Mn: 0.0321 0.3214 0.6328  5 O 2.09-2.24
Mn: 0.9679 0.6786 0.3672  5 O 2.09-2.24
Mn: 0.9679 0.8214 0.8672  5 O 2.09-2.24
B: 0.3302 0.5471 0.6708  4 O 1.44-1.48
B: 0.3302 0.9529 0.1708  4 O 1.44-1.48
B: 0.4411 0.1773 0.5619  4 O 1.46-1.49
B: 0.4411 0.3227 0.0619  4 O 1.46-1.49
B: 0.5589 0.6773 0.9381  4 O 1.46-1.49
B: 0.5589 0.8227 0.4381  4 O 1.46-1.49
B: 0.6698 0.0471 0.8292  4 O 1.44-1.48
B: 0.6698 0.4529 0.3292  4 O 1.44-1.48
P: 0.2140 0.0707 0.0174  4 O 1.52-1.59
P: 0.2140 0.4293 0.5174  4 O 1.52-1.59
P: 0.2711 0.5361 0.9353  4 O 1.51-1.57
P: 0.2711 0.9639 0.4353  4 O 1.51-1.57
P: 0.4386 0.2363 0.7093  4 O 1.51-1.56
P: 0.4386 0.2637 0.2093  4 O 1.51-1.56
P: 0.5614 0.7363 0.7907  4 O 1.51-1.56
P: 0.5614 0.7637 0.2907  4 O 1.51-1.56
P: 0.7289 0.0361 0.5647  4 O 1.51-1.57
P: 0.7289 0.4639 0.0647  4 O 1.51-1.57
P: 0.7860 0.5707 0.4826  4 O 1.52-1.59
P: 0.7860 0.9293 0.9826  4 O 1.52-1.59
H: 0.0584 0.6969 0.0476  1 N 1.05
H: 0.0584 0.8031 0.5476  1 N 1.05
H: 0.0615 0.5305 0.1018  1 N 1.04
H: 0.0615 0.9695 0.6018  1 N 1.04
H: 0.1518 0.6077 0.7094  1 O 0.99
H: 0.1518 0.8923 0.2094  1 O 0.99
H: 0.1549 0.1179 0.3265  1 O 1.04
H: 0.1549 0.3821 0.8265  1 O 1.04
H: 0.1984 0.5466 0.0623  1 N 1.04
H: 0.1984 0.9534 0.5623  1 N 1.04
H: 0.2247 0.6620 0.1410  1 N 1.04
H: 0.2247 0.8380 0.6410  1 N 1.04
H: 0.2532 0.0455 0.8825  1 N 1.06
H: 0.2532 0.4545 0.3825  1 N 1.06
H: 0.2903 0.0957 0.7995  1 N 1.04
H: 0.2903 0.4043 0.2995  1 N 1.04
H: 0.3805 0.1968 0.8870  1 N 1.03
H: 0.3805 0.3032 0.3870  1 N 1.03
H: 0.4413 0.0086 0.8839  1 N 1.03
H: 0.4413 0.4914 0.3839  1 N 1.03
H: 0.5587 0.5086 0.6161  1 N 1.03
H: 0.5587 0.9914 0.1161  1 N 1.03
H: 0.6195 0.6968 0.6130  1 N 1.03
H: 0.6195 0.8032 0.1130  1 N 1.03
H: 0.7097 0.5957 0.7005  1 N 1.04
H: 0.7097 0.9043 0.2005  1 N 1.04
H: 0.7468 0.5455 0.6175  1 N 1.06
H: 0.7468 0.9545 0.1175  1 N 1.06
H: 0.7753 0.1620 0.3590  1 N 1.04
H: 0.7753 0.3380 0.8590  1 N 1.04
H: 0.8016 0.0466 0.4377  1 N 1.04
H: 0.8016 0.4534 0.9377  1 N 1.04
H: 0.8451 0.6179 0.1735  1 O 1.04
H: 0.8451 0.8821 0.6735  1 O 1.04
H: 0.8482 0.1077 0.7906  1 O 0.99
H: 0.8482 0.3923 0.2906  1 O 0.99
H: 0.9385 0.0305 0.3982  1 N 1.04
H: 0.9385 0.4695 0.8982  1 N 1.04
H: 0.9416 0.1969 0.4524  1 N 1.05
H: 0.9416 0.3031 0.9524  1 N 1.05
N: 0.1351 0.6097 0.0885  4 H 1.04-1.05
N: 0.1351 0.8903 0.5885  4 H 1.04-1.05
N: 0.3408 0.0856 0.8626  4 H 1.03-1.06
N: 0.3408 0.4144 0.3626  4 H 1.03-1.06
N: 0.6592 0.5856 0.6374  4 H 1.03-1.06
N: 0.6592 0.9144 0.1374  4 H 1.03-1.06
N: 0.8649 0.1097 0.4115  4 H 1.04-1.05
N: 0.8649 0.3903 0.9115  4 H 1.04-1.05
Cl: 0.0506 0.6941 0.2511  1 H 1.86
Cl: 0.0506 0.8059 0.7511  1 H 1.86
Cl: 0.9494 0.1941 0.2489  1 H 1.86
Cl: 0.9494 0.3059 0.7489  1 H 1.86
O: 0.0937 0.1810 0.0303  1 P 1.52
O: 0.0937 0.3190 0.5303  1 P 1.52
O: 0.1025 0.6112 0.9108  1 P 1.51
O: 0.1025 0.8888 0.4108  1 P 1.51
O: 0.1511 0.5052 0.4340  1 P 1.52, 1 H 1.65
O: 0.1511 0.9948 0.9340  1 P 1.52, 1 H 1.65
O: 0.1931 0.5170 0.6895  1 H 0.99
O: 0.1931 0.9830 0.1895  1 H 0.99
O: 0.2700 0.1856 0.7013  1 P 1.51
O: 0.2700 0.3144 0.2013  1 P 1.51
O: 0.2722 0.0858 0.3718  1 H 1.04
O: 0.2722 0.4142 0.8718  1 H 1.04
O: 0.2754 0.5655 0.5825  1 B 1.48, 1 P 1.57
O: 0.2754 0.9345 0.0825  1 B 1.48, 1 P 1.57
O: 0.3144 0.0536 0.5168  1 B 1.49, 1 P 1.57
O: 0.3144 0.4464 0.0168  1 B 1.49, 1 P 1.57
O: 0.3801 0.1637 0.0325  1 B 1.46, 1 P 1.59
O: 0.3801 0.3363 0.5325  1 B 1.46, 1 P 1.59
O: 0.4105 0.6590 0.9522  1 B 1.47, 1 P 1.54
O: 0.4105 0.8410 0.4522  1 B 1.47, 1 P 1.54
O: 0.4139 0.6990 0.7052  1 B 1.48, 1 P 1.56
O: 0.4139 0.8010 0.2052  1 B 1.48, 1 P 1.56
O: 0.4556 0.0818 0.2025  1 B 1.48, 1 P 1.55
O: 0.4556 0.4182 0.7025  1 B 1.48, 1 P 1.55
O: 0.4866 0.1537 0.6476  1 B 1.46, 1 P 1.55
O: 0.4866 0.3463 0.1476  1 B 1.46, 1 P 1.55
O: 0.5134 0.6537 0.8524  1 B 1.46, 1 P 1.55
O: 0.5134 0.8463 0.3524  1 B 1.46, 1 P 1.55
O: 0.5444 0.5818 0.2975  1 B 1.48, 1 P 1.55
O: 0.5444 0.9182 0.7975  1 B 1.48, 1 P 1.55
O: 0.5861 0.1990 0.7948  1 B 1.48, 1 P 1.56
O: 0.5861 0.3010 0.2948  1 B 1.48, 1 P 1.56
O: 0.5895 0.1590 0.5478  1 B 1.47, 1 P 1.54
O: 0.5895 0.3410 0.0478  1 B 1.47, 1 P 1.54
O: 0.6199 0.6637 0.4675  1 B 1.46, 1 P 1.59
O: 0.6199 0.8363 0.9675  1 B 1.46, 1 P 1.59
O: 0.6856 0.5536 0.9832  1 B 1.49, 1 P 1.57
O: 0.6856 0.9464 0.4832  1 B 1.49, 1 P 1.57
O: 0.7246 0.0655 0.9175  1 B 1.48, 1 P 1.57
O: 0.7246 0.4345 0.4175  1 B 1.48, 1 P 1.57
O: 0.7278 0.5858 0.1282  1 H 1.04
O: 0.7278 0.9142 0.6282  1 H 1.04
O: 0.7300 0.6856 0.7987  1 P 1.51
O: 0.7300 0.8144 0.2987  1 P 1.51
O: 0.8069 0.0170 0.8105  1 H 0.99
O: 0.8069 0.4830 0.3105  1 H 0.99
O: 0.8489 0.0052 0.0660  1 P 1.52, 1 H 1.65
O: 0.8489 0.4948 0.5660  1 P 1.52, 1 H 1.65
O: 0.8975 0.1112 0.5892  1 P 1.51
O: 0.8975 0.3888 0.0892  1 P 1.51
O: 0.9063 0.6810 0.4697  1 P 1.52
O: 0.9063 0.8190 0.9697  1 P 1.52